# AlHSeN2, optimized geometry, DFT PBE
# - Energy above the lowest structure with this stoichiometry: 0.4330 eV/atom
# - V: 50.3 Å³/cell
# - Fermi-level density of states: 2.8 states/eV per cell
data_AlHSeN2
_chemical_formula_sum 'Al1 H1 Se1 N2'
_space_group_name_H-M_alt 'P 4/m m m'
_space_group_IT_number 123
_space_group_name_Hall '-P 4 2'
_cell_length_a 4.018
_cell_length_b 4.018
_cell_length_c 3.118
_cell_angle_alpha 90.00
_cell_angle_beta 90.00
_cell_angle_gamma 90.00
loop_
_atom_site_label
_atom_site_fract_x
_atom_site_fract_y
_atom_site_fract_z
Al1 0.000 0.000 0.000
H1 0.500 0.500 0.500
Se1 0.500 0.500 0.000
N1 0.000 0.500 0.500